Record 1
# Sc2Ga2SiNi5 | Alexandria | PBE-GGA | optimized geometry
# E_form (uncorrected) (eV per formula unit): -4.451
# Uncorrected energy (eV per atom): -5.750
# D(E_F) (states/eV/cell): 18.64
# Spin magnetization (μB/f.u.): 0.00
data_Sc2Ga2SiNi5
_chemical_formula_sum 'Sc4 Ga4 Si2 Ni10'
_space_group_name_H-M_alt 'P 1'
_space_group_IT_number 1
_space_group_name_Hall 'P 1'
_cell_length_a 9.5863
_cell_length_b 9.5863
_cell_length_c 3.0372
_cell_angle_alpha 90.00
_cell_angle_beta 90.00
_cell_angle_gamma 90.00
loop_
_atom_site_label
_atom_site_fract_x
_atom_site_fract_y
_atom_site_fract_z
Sc1 0.1714 0.3286 0.0000
Sc2 0.3286 0.8286 0.0000
Sc3 0.6714 0.1714 0.0000
Sc4 0.8286 0.6714 0.0000
Ga1 0.1321 0.6321 0.0000
Ga2 0.3679 0.1321 0.0000
Ga3 0.6321 0.8679 0.0000
Ga4 0.8679 0.3679 0.0000
Si1 0.0000 0.0000 0.0000
Si2 0.5000 0.5000 0.0000
Ni1 0.0000 0.5000 0.5000
Ni2 0.0454 0.8121 0.5000
Ni3 0.1879 0.0454 0.5000
Ni4 0.3121 0.5454 0.5000
Ni5 0.4546 0.3121 0.5000
Ni6 0.5000 0.0000 0.5000
Ni7 0.5454 0.6879 0.5000
Ni8 0.6879 0.4546 0.5000
Ni9 0.8121 0.9546 0.5000
Ni10 0.9546 0.1879 0.5000

=====

Record 2
# Sm2ScGa3Ni4 | Alexandria | PBE-GGA | optimized geometry
# Uncorrected energy (eV per atom): -5.342
# D(E_F) (states/eV/cell): 7.45
# E_form (eV per atom): -0.54
# Spin magnetization (μB/f.u.): 0.00
data_Sm2ScGa3Ni4
_chemical_formula_sum 'Sm2 Sc1 Ga3 Ni4'
_space_group_name_H-M_alt 'P 1'
_space_group_IT_number 1
_space_group_name_Hall 'P 1'
_cell_length_a 4.0808
_cell_length_b 4.0808
_cell_length_c 10.5575
_cell_angle_alpha 90.00
_cell_angle_beta 90.00
_cell_angle_gamma 90.00
loop_
_atom_site_label
_atom_site_fract_x
_atom_site_fract_y
_atom_site_fract_z
Sm1 0.0000 0.5000 0.2328
Sm2 0.5000 0.0000 0.7672
Sc1 0.0000 0.0000 0.5000
Ga1 0.0000 0.5000 0.8790
Ga2 0.5000 0.0000 0.1210
Ga3 0.5000 0.5000 0.5000
Ni1 0.0000 0.0000 0.0000
Ni2 0.0000 0.5000 0.6496
Ni3 0.5000 0.0000 0.3504
Ni4 0.5000 0.5000 0.0000